one.
PWBr2 | PBE | relaxed

The structure in POSCAR format:
```
PWBr2
1.0
3.061 0.000 0.000
0.000 3.061 0.000
0.000 0.000 9.953
P W Br
1 1 2
Direct
0.000 0.000 0.597
0.500 0.500 0.732
0.000 0.000 0.910
0.500 0.500 0.261
```

Computed properties:
DOS(E_F): 3.35 states/eV/cell

***

two.
PWBr2 | PBE | relaxed

The structure in POSCAR format:
```
PWBr2
1.0
4.759 0.000 0.000
0.000 4.759 0.000
0.000 0.000 3.214
Br P W
2 1 1
Direct
0.500 0.500 0.000
0.000 0.000 0.000
0.500 0.000 0.500
0.000 0.500 0.500
```

Computed properties:
DOS(E_F): 3.29 states/eV/cell

***

three.
PWBr2 | PBE | relaxed

The structure in POSCAR format:
```
PWBr2
1.0
1.812 0.000 10.939
-0.906 1.570 10.939
-0.906 -1.570 10.939
W Br P
1 2 1
Direct
0.500 0.500 0.500
0.891 0.891 0.891
0.109 0.109 0.109
0.000 0.000 0.000
```

Computed properties:
DOS(E_F): 2.62 states/eV/cell

***

What is the stability order? It is one, three, two, from most stable to least stable.

***

one.
PW2Br | PBE | relaxed

The structure in POSCAR format:
```
PW2Br
1.0
-0.664 -2.815 -1.096
1.707 1.676 -1.960
6.581 -2.840 3.305
P W Br
1 2 1
Direct
0.500 0.500 0.750
0.000 0.000 0.553
0.000 0.000 0.947
0.500 0.500 0.250
```

Computed properties:
DOS(E_F): 2.22 states/eV/cell

***

two.
PW2Br | PBE | relaxed

The structure in POSCAR format:
```
PW2Br
1.0
-0.874 -0.912 2.852
-1.928 -2.102 -1.262
5.752 -5.314 0.064
P W Br
1 2 1
Direct
0.500 0.500 0.850
0.000 0.000 0.990
0.500 0.500 0.216
0.000 0.000 0.444
```

Computed properties:
DOS(E_F): 2.72 states/eV/cell

***

three.
PW2Br | PBE | relaxed

The structure in POSCAR format:
```
PW2Br
1.0
-1.010 -3.659 2.238
2.216 -3.341 1.827
0.941 0.052 7.431
W Br P
2 1 1
Direct
0.478 0.478 0.385
0.022 0.022 0.115
0.750 0.750 0.750
0.250 0.250 0.250
```

Computed properties:
DOS(E_F): 2.10 states/eV/cell

***

four.
PW2Br | PBE | relaxed

The structure in POSCAR format:
```
PW2Br
1.0
5.813 0.000 0.000
0.000 5.813 0.000
2.906 2.906 5.000
Br P W
2 2 4
Direct
0.000 0.000 0.000
0.750 0.250 0.500
0.500 0.500 0.000
0.250 0.750 0.500
0.603 0.125 0.250
0.875 0.853 0.750
0.147 0.625 0.250
0.375 0.397 0.750
```

Computed properties:
DOS(E_F): 9.73 states/eV/cell

***

What is the stability order? It is two, three, one, four, from most stable to least stable.

***

one.
P2WBr | PBE | relaxed

The structure in POSCAR format:
```
P2WBr
1.0
-1.202 -0.060 2.928
-2.045 -2.248 -0.886
5.167 -5.491 2.009
P Br W
2 1 1
Direct
0.000 0.000 0.123
0.500 0.500 0.274
0.500 0.500 0.671
0.000 0.000 0.432
```

Computed properties:
DOS(E_F): 2.67 states/eV/cell

***

two.
P2WBr | PBE | relaxed

The structure in POSCAR format:
```
P2WBr
1.0
6.000 0.023 0.000
3.123 5.123 0.000
-3.888 -3.767 2.587
Br W P
1 1 2
Direct
0.750 0.250 0.500
0.250 0.750 0.500
0.433 0.433 0.000
0.067 0.067 0.000
```

Computed properties:
DOS(E_F): 2.27 states/eV/cell

***

What is the stability order? It is one, two, from most stable to least stable.